{"formula": "ZnSb2Ru", "functional": "PBE", "state": "optimized geometry", "crystal_system": "tetragonal", "e_form_raw_ev_per_atom": 0.331, "lattice_angstrom": [[-1.1611, -4.5680, -0.4217], [4.5499, -1.2025, 0.4982], [-0.4312, -0.2076, 3.4365]], "species": ["Sb", "Sb", "Ru", "Zn"], "frac_coords": [[0.0000, 0.0000, 0.0000], [0.5000, 0.5000, 0.0000], [0.0000, 0.5000, 0.5000], [0.5000, 0.0000, 0.5000]]}

{"formula": "CsCu2Br8", "functional": "PBE", "state": "optimized geometry", "crystal_system": "monoclinic", "e_form_raw_ev_per_atom": -0.364, "lattice_angstrom": [[-4.1729, -2.5125, -2.4240], [4.4457, -4.4499, -3.0967], [1.4604, -8.2347, 5.9931]], "species": ["Br", "Br", "Br", "Br", "Br", "Br", "Br", "Br", "Cu", "Cu", "Cs"], "frac_coords": [[0.0000, 0.4025, 0.6807], [0.7463, 0.4938, 0.0000], [0.0000, 0.5975, 0.3193], [0.0000, 0.9169, 0.6807], [0.5000, 0.7498, 0.5005], [0.2537, 0.5062, 0.0000], [0.5000, 0.2502, 0.4995], [0.0000, 0.0831, 0.3193], [0.0000, 0.7479, 0.5042], [0.0000, 0.2521, 0.4958], [0.5000, 0.0000, 0.0000]]}

{"formula": "NaSiAgSe3", "functional": "PBE", "state": "optimized geometry", "crystal_system": "monoclinic", "e_form_raw_ev_per_atom": -0.405, "lattice_angstrom": [[-0.3357, 5.0365, -4.4633], [-5.7677, -0.5235, -3.4436], [-6.0237, 6.1405, 1.3926]], "species": ["Na", "Na", "Se", "Se", "Se", "Se", "Se", "Se", "Si", "Si", "Ag", "Ag"], "frac_coords": [[0.2984, 0.2984, 0.2099], [0.7016, 0.7016, 0.7901], [0.3290, 0.8320, 0.1643], [0.1680, 0.6710, 0.8357], [0.2579, 0.2579, 0.5870], [0.6710, 0.1680, 0.8357], [0.7421, 0.7421, 0.4130], [0.8320, 0.3290, 0.1643], [0.0236, 0.0236, 0.8496], [0.9764, 0.9764, 0.1504], [0.2967, 0.7033, 0.5000], [0.7033, 0.2967, 0.5000]]}